[1]
This record from the Alexandria database describes a geometry-optimized FeCu2NiPt structure. The functional is PBE.

```
5
Lattice="4.323 0.000 0.000 0.000 4.323 0.000 0.000 0.000 4.197" Properties=species:S:1:pos:R:3 pbc="T T T"
Fe 0.000 0.000 0.000
Cu 0.000 2.161 0.000
Cu 2.161 0.000 0.000
Ni 0.000 0.000 2.098
Pt 2.161 2.161 2.098
```

Properties
The symmetry is No. 123. As for the energy of formation: 1.054 eV per atom.

=====

[2]
This record from the Alexandria database describes a geometry-optimized Fe2CuNiPt4 structure. The functional is PBE.

```
8
Lattice="2.732 0.000 0.000 0.000 2.732 0.000 0.000 0.000 14.876" Properties=species:S:1:pos:R:3 pbc="T T T"
Fe 0.000 0.000 0.000
Fe 0.000 0.000 3.770
Cu 0.000 0.000 7.500
Ni 0.000 0.000 11.157
Pt 1.366 1.366 1.882
Pt 1.366 1.366 5.605
Pt 1.366 1.366 9.361
Pt 1.366 1.366 13.014
```

Properties
The symmetry is No. 99. As for the energy of formation: -0.195 eV per atom.

=====

[3]
This record from the Alexandria database describes a geometry-optimized Fe2CuNiRh structure. The functional is PBE.

```
10
Lattice="4.548 0.000 0.000 0.000 4.811 0.000 0.000 0.000 5.906" Properties=species:S:1:pos:R:3 pbc="T T T"
Fe 1.137 1.126 1.199
Fe 1.137 3.685 1.199
Fe 3.411 1.126 4.707
Fe 3.411 3.685 4.707
Cu 1.137 2.405 5.084
Cu 3.411 2.405 0.821
Ni 0.000 2.405 2.953
Ni 2.274 2.405 2.953
Rh 1.137 0.000 3.807
Rh 3.411 0.000 2.099
```

Properties
The symmetry is No. 51. As for the energy of formation: 0.192 eV per atom.

=====

[4]
This record from the Alexandria database describes a geometry-optimized FeCuNiRh structure. The functional is PBE.

```
4
Lattice="0.000 2.925 2.925 2.925 0.000 2.925 2.925 2.925 0.000" Properties=species:S:1:pos:R:3 pbc="T T T"
Fe 0.000 0.000 0.000
Cu 2.925 2.925 2.925
Ni 4.388 4.388 4.388
Rh 1.463 1.463 1.463
```

Properties
The symmetry is No. 216. As for the energy of formation: -0.003 eV per atom.

=====

[5]
This record from the Alexandria database describes a geometry-optimized Fe2CuNiS structure. The functional is PBE.

```
5
Lattice="4.147 0.000 0.000 0.000 4.147 0.000 0.000 0.000 4.089" Properties=species:S:1:pos:R:3 pbc="T T T"
Fe 0.000 2.074 0.000
Fe 2.074 0.000 0.000
Cu 0.000 0.000 2.045
Ni 2.074 2.074 2.045
S 2.074 2.074 0.000
```

Properties
The symmetry is No. 123. The formation energy from raw total energies comes out at 1.42 eV/f.u.

=====

[6]
This record from the Alexandria database describes a geometry-optimized FeCu2NiSe structure. The functional is PBE.

```
5
Lattice="4.465 0.000 0.000 0.000 4.465 0.000 0.000 0.000 4.310" Properties=species:S:1:pos:R:3 pbc="T T T"
Fe 0.000 0.000 0.000
Cu 0.000 2.233 2.155
Cu 2.233 0.000 2.155
Ni 2.233 2.233 0.000
Se 2.233 2.233 2.155
```

Properties
The symmetry is No. 123. The formation energy from raw total energies comes out at 4.17 eV/f.u.